## TbNdAl (GGA-PBE)

Data for an optimized crystal structure of TbNdAl.

```
TbNdAl
1.0
-1.748 1.748 6.901
1.748 -1.748 6.901
1.748 1.748 -6.901
Tb Nd Al
1 1 1
Cartesian
0.000 0.000 0.000 Tb
0.000 0.000 4.052 Nd
0.000 0.000 8.852 Al
```

E_tot (Ry per atom): -0.33803
Calculated volume (Å³/cell): 84.4
Distance to the lowest polymorph of the same formula (meV/atom): 5
Magnetization (μB per formula unit): 0.00